Here is a relaxed structure of CsHoP2S8 from Alexandria. Energies are from PBE-GGA.

Unit cell a=6.2312 b=6.2312 c=9.8599 alpha=90.00 beta=90.00 gamma=120.00
Element x y z (fractional)
S: 0.3624 0.9968 0.6597
S: 0.9968 0.6344 0.3403
P: 0.3333 0.6667 0.7179
S: 0.0032 0.3656 0.6597
Cs: 0.0000 0.0000 0.0000
S: 0.6376 0.0032 0.3403
Ho: 0.0000 0.0000 0.5000
P: 0.6667 0.3333 0.2821
S: 0.6667 0.3333 0.0766
S: 0.3333 0.6667 0.9234
S: 0.6344 0.6376 0.6597
S: 0.3656 0.3624 0.3403

Calculated values
Total DFT energy (no corrections) (eV/atom): -4.706
Mass density (g/cm3): 3.1
Formation energy from raw total energies (eV per atom): -0.601
Total moment (μB/atom): 0.171
V (Å³ per cell): 331.5
Space group: No. 147


Here is a relaxed structure of Cr2CoBr from Alexandria. Energies are from PBE-GGA.

Unit cell a=4.3992 b=4.3992 c=2.9504 alpha=90.07 beta=90.07 gamma=104.46
Element x y z (fractional)
Cr: 0.0000 0.0000 0.0000
Cr: 0.5000 0.5000 0.0000
Br: 0.5000 0.0000 0.5000
Co: 0.0000 0.5000 0.5000

Calculated values
Total DFT energy (no corrections) (eV/atom): -6.193
Mass density (g/cm3): 7.3
Formation energy from raw total energies (eV per atom): 0.813
Total moment (μB/atom): 1.399
V (Å³ per cell): 55.3
Space group: No. 65
Polymorph energy (0 for the lowest one) (eV per formula unit): 1.45


Here is a relaxed structure of Cs4Bi5Pb2 from Alexandria. Energies are from PBE-GGA.

Unit cell a=6.4370 b=8.3185 c=9.6969 alpha=99.77 beta=90.00 gamma=90.00
Element x y z (fractional)
Cs: 0.5000 0.2700 0.6054
Bi: 0.0000 0.6531 0.6291
Cs: 0.5000 0.7300 0.3946
Pb: 0.0000 0.0221 0.8402
Bi: 0.0000 0.5973 0.1483
Pb: 0.0000 0.9779 0.1598
Bi: 0.0000 0.0000 0.5000
Bi: 0.0000 0.4027 0.8517
Cs: 0.5000 0.2732 0.1013
Cs: 0.5000 0.7268 0.8987
Bi: 0.0000 0.3469 0.3709

Calculated values
Total DFT energy (no corrections) (eV/atom): -2.959
Mass density (g/cm3): 6.5
Energy of formation from the pure elements (eV per atom): -0.21
Total moment (μB/atom): 0.000
V (Å³ per cell): 511.7
Space group: No. 10


Here is a relaxed structure of LaTbNi from Alexandria. Energies are from PBE-GGA.

Unit cell a=3.9479 b=3.9479 c=6.4280 alpha=90.00 beta=90.00 gamma=120.00
Element x y z (fractional)
Tb: 0.3333 0.6667 0.5766
Ni: 0.6667 0.3333 0.3390
La: 0.0000 0.0000 0.0844

Calculated values
Total DFT energy (no corrections) (eV/atom): -5.257
Mass density (g/cm3): 6.8
Energy of formation from the pure elements (eV per atom): -0.14
Total moment (μB/atom): 0.000
V (Å³ per cell): 86.8
Space group: No. 156
Polymorph energy (0 for the lowest one) (eV per formula unit): 0.35


Here is a relaxed structure of Hf2TaZn from Alexandria. Energies are from PBE-GGA.

Unit cell a=2.9811 b=2.9811 c=10.6454 alpha=81.95 beta=81.95 gamma=60.00
Element x y z (fractional)
Hf: 0.9095 0.9095 0.2715
Zn: 0.5000 0.5000 0.5000
Hf: 0.0905 0.0905 0.7285
Ta: 0.0000 0.0000 0.0000

Calculated values
Total DFT energy (no corrections) (eV/atom): -7.916
Mass density (g/cm3): 12.4
Energy of formation from the pure elements (eV per atom): 0.34
Total moment (μB/atom): 0.000
V (Å³ per cell): 80.9
Space group: No. 166


Here is a relaxed structure of Tb5Pm12Cd2 from Alexandria. Energies are from PBE-GGA.

Unit cell a=9.2730 b=9.0955 c=8.5473 alpha=92.48 beta=90.00 gamma=120.65
Element x y z (fractional)
Tb: 0.3028 0.6056 0.9804
Pm: 0.0371 0.7051 0.7640
Cd: 0.3303 0.0000 0.0000
Pm: 0.4425 0.8849 0.6708
Cd: 0.6697 0.0000 0.0000
Pm: 0.9201 0.8402 0.1177
Pm: 0.5575 0.1151 0.3292
Pm: 0.3320 0.2949 0.2360
Pm: 0.9629 0.2949 0.2360
Pm: 0.1797 0.7479 0.3265
Pm: 0.5682 0.7479 0.3265
Tb: 0.2325 0.4649 0.5761
Pm: 0.6680 0.7051 0.7640
Tb: 0.7675 0.5351 0.4239
Tb: 0.6972 0.3944 0.0196
Pm: 0.4318 0.2521 0.6735
Pm: 0.8203 0.2521 0.6735
Tb: 0.0000 0.0000 0.5000
Pm: 0.0799 0.1598 0.8823

Calculated values
Total DFT energy (no corrections) (eV/atom): -4.275
Mass density (g/cm3): 7.4
Energy of formation from the pure elements (eV per atom): 0.04
Total moment (μB/atom): 0.000
V (Å³ per cell): 619.4
Space group: No. 12


Here is a relaxed structure of Tb2ScSn3 from Alexandria. Energies are from PBE-GGA.

Unit cell a=5.0288 b=6.1526 c=6.7211 alpha=117.24 beta=111.97 gamma=90.00
Element x y z (fractional)
Tb: 0.3241 0.8241 0.6482
Sc: 0.0000 0.5000 0.0000
Sn: 0.0000 0.0000 0.0000
Sn: 0.3536 0.3536 0.7071
Tb: 0.6759 0.1759 0.3518
Sn: 0.6464 0.6464 0.2929

Calculated values
Total DFT energy (no corrections) (eV/atom): -5.135
Mass density (g/cm3): 7.1
Energy of formation from the pure elements (eV per atom): -0.53
Total moment (μB/atom): 0.000
V (Å³ per cell): 167.7
Space group: No. 71


Here is a relaxed structure of Li2CaAl3 from Alexandria. Energies are from PBE-GGA.

Unit cell a=5.5069 b=7.0664 c=7.0664 alpha=77.51 beta=67.07 gamma=67.07
Element x y z (fractional)
Al: 0.5000 0.2500 0.7500
Al: 0.5000 0.7500 0.2500
Al: 0.0000 0.2500 0.7500
Li: 0.6667 0.0833 0.0833
Ca: 0.0001 0.2500 0.2500
Li: 0.3334 0.4167 0.4167
Al: 0.5000 0.5000 0.0000
Al: 0.0000 0.7500 0.2500
Li: 0.3333 0.9167 0.9167
Li: 0.6666 0.5833 0.5833
Ca: 0.9999 0.7500 0.7500
Al: 0.5000 0.0000 0.5000

Calculated values
Total DFT energy (no corrections) (eV/atom): -3.041
Mass density (g/cm3): 1.9
Energy of formation from the pure elements (eV per atom): -0.20
Total moment (μB/atom): 0.000
V (Å³ per cell): 232.6
Space group: No. 191


Here is a relaxed structure of PrFe3Co3 from Alexandria. Energies are from PBE-GGA.

Unit cell a=6.0936 b=6.0936 c=6.0936 alpha=90.00 beta=90.00 gamma=90.00
Element x y z (fractional)
Fe: 0.5000 0.2500 0.0000
Fe: 0.7500 0.0000 0.5000
Co: 0.0000 0.2500 0.5000
Fe: 0.0000 0.5000 0.7500
Fe: 0.0000 0.5000 0.2500
Co: 0.5000 0.0000 0.7500
Pr: 0.0000 0.0000 0.0000
Fe: 0.5000 0.7500 0.0000
Co: 0.2500 0.5000 0.0000
Pr: 0.5000 0.5000 0.5000
Co: 0.0000 0.7500 0.5000
Co: 0.5000 0.0000 0.2500
Fe: 0.2500 0.0000 0.5000
Co: 0.7500 0.5000 0.0000

Calculated values
Total DFT energy (no corrections) (eV/atom): -6.838
Mass density (g/cm3): 7.1
Energy of formation from the pure elements (eV per atom): 0.52
Total moment (μB/atom): 0.535
V (Å³ per cell): 226.3
Space group: No. 223


Here is a relaxed structure of ReTcPt2 from Alexandria. Energies are from PBE-GGA.

Unit cell a=4.8213 b=4.8213 c=4.8732 alpha=81.52 beta=81.52 gamma=32.56
Element x y z (fractional)
Pt: 0.7542 0.7542 0.7427
Pt: 0.9960 0.9960 0.0054
Re: 0.4992 0.4992 0.4957
Tc: 0.2507 0.2507 0.2561

Calculated values
Total DFT energy (no corrections) (eV/atom): -8.821
Mass density (g/cm3): 18.6
Energy of formation from the pure elements (eV per atom): -0.10
Total moment (μB/atom): 0.000
V (Å³ per cell): 60.2
Space group: No. 8
Polymorph energy (0 for the lowest one) (eV per formula unit): 0.16


Here is a relaxed structure of SrLa3Nd2Te6 from Alexandria. Energies are from PBE-GGA.

Unit cell a=4.5662 b=9.1708 c=10.2194 alpha=102.87 beta=102.91 gamma=90.00
Element x y z (fractional)
Te: 0.0031 0.2528 0.0061
Te: 0.3342 0.4190 0.6685
Te: 0.6657 0.5810 0.3315
La: 0.1663 0.8287 0.3327
La: 0.8337 0.1713 0.6673
Nd: 0.8290 0.6578 0.6580
Nd: 0.1710 0.3422 0.3420
Te: 0.3325 0.9127 0.6650
Sr: 0.5000 0.0000 0.0000
Te: 0.9969 0.7472 0.9939
Te: 0.6675 0.0873 0.3350
La: 0.5000 0.5000 0.0000

Calculated values
Total DFT energy (no corrections) (eV/atom): -5.287
Mass density (g/cm3): 6.4
Formation energy from raw total energies (eV per atom): -1.550
Total moment (μB/atom): 0.000
V (Å³ per cell): 406.1
Space group: No. 12


Here is a relaxed structure of LiTaMo from Alexandria. Energies are from PBE-GGA.

Unit cell a=4.7677 b=4.7677 c=4.7677 alpha=138.90 beta=138.90 gamma=59.53
Element x y z (fractional)
Ta: 0.6699 0.6699 0.0000
Mo: 0.3335 0.3335 0.0000
Li: 0.9966 0.9966 0.0000

Calculated values
Total DFT energy (no corrections) (eV/atom): -7.842
Mass density (g/cm3): 10.2
Energy of formation from the pure elements (eV per atom): 0.36
Total moment (μB/atom): 0.000
V (Å³ per cell): 46.4
Space group: No. 107
Polymorph energy (0 for the lowest one) (eV per formula unit): 0.25